Record 1
Here is a geometry-optimized BaSmAgCl6 structure from Alexandria via LeMat-Bulk. Energies are from GGA-PBE.

Results
- volume (Å³ per cell) = 587
- space group = P-31c (163)
- uncorrected formation energy (eV per atom) = -1.937

Cell lengths 7.060, 7.060, 13.607 Å; angles 90.00, 90.00, 120.00 degrees
Positions (direct):
1 Ba 0.000 0.000 0.000
2 Ba 0.000 0.000 0.500
3 Sm 0.667 0.333 0.250
4 Sm 0.333 0.667 0.750
5 Ag 0.333 0.667 0.250
6 Ag 0.667 0.333 0.750
7 Cl 0.648 0.639 0.135
8 Cl 0.991 0.352 0.135
9 Cl 0.352 0.991 0.635
10 Cl 0.009 0.648 0.865
11 Cl 0.361 0.352 0.365
12 Cl 0.991 0.639 0.365
13 Cl 0.639 0.991 0.865
14 Cl 0.648 0.009 0.365
15 Cl 0.009 0.361 0.635
16 Cl 0.361 0.009 0.135
17 Cl 0.639 0.648 0.635
18 Cl 0.352 0.361 0.865


Record 2
Here is a geometry-optimized BaAgSn2Cl structure from Alexandria via LeMat-Bulk. Energies are from GGA-PBE.

Results
- volume (Å³ per cell) = 250
- space group = P4/mmm (123)
- uncorrected formation energy (eV per atom) = 0.414

Cell lengths 6.634, 5.688, 6.634 Å; angles 90.00, 90.00, 90.00 degrees
Last column: magnetic moment on the atom in μB.
Positions (direct):
1 Cl 0.000 0.500 0.000  0.02
2 Ba 0.000 0.000 0.000  0.03
3 Ag 0.500 0.500 0.500  -0.01
4 Sn 0.000 0.000 0.500  0.14
5 Sn 0.500 0.000 0.000  0.15


Record 3
Here is a geometry-optimized BaSrAgCl structure from Alexandria via LeMat-Bulk. Energies are from GGA-PBE.

Results
- volume (Å³ per cell) = 135
- space group = F-43m (216)
- uncorrected formation energy (eV per atom) = -0.819

Cell lengths 5.751, 5.751, 5.751 Å; angles 60.00, 60.00, 60.00 degrees
Positions (direct):
1 Sr 0.250 0.250 0.250
2 Ba 0.750 0.750 0.750
3 Ag 0.000 0.000 0.000
4 Cl 0.500 0.500 0.500


Record 4
Here is a geometry-optimized BaSr2AgCl8 structure from Alexandria via LeMat-Bulk. Energies are from GGA-PBE.

Results
- volume (Å³ per cell) = 362
- space group = P-1 (2)
- uncorrected formation energy (eV per atom) = -1.923

Cell lengths 5.050, 7.193, 10.150 Å; angles 98.13, 88.29, 97.25 degrees
Last column: magnetic moment on the atom in μB.
Positions (direct):
1 Ba 0.000 0.000 0.500  0.00
2 Sr 0.508 0.533 0.756  0.00
3 Sr 0.492 0.467 0.244  0.00
4 Ag 0.000 0.000 0.000  0.35
5 Cl 0.026 0.672 0.262  0.01
6 Cl 0.587 0.762 0.024  0.14
7 Cl 0.957 0.178 0.224  0.12
8 Cl 0.974 0.328 0.738  0.01
9 Cl 0.413 0.238 0.976  0.14
10 Cl 0.043 0.822 0.776  0.12
11 Cl 0.480 0.738 0.520  0.01
12 Cl 0.520 0.262 0.480  0.01


Record 5
Here is a geometry-optimized BaSrAg2Cl8 structure from Alexandria via LeMat-Bulk. Energies are from GGA-PBE.

Results
- volume (Å³ per cell) = 354
- space group = I-4 (82)
- uncorrected formation energy (eV per atom) = -1.346

Cell lengths 7.098, 7.098, 8.630 Å; angles 114.28, 114.28, 90.00 degrees
Last column: magnetic moment on the atom in μB.
Positions (direct):
1 Ba 0.000 0.000 0.000  0.00
2 Sr 0.750 0.250 0.500  0.00
3 Ag 0.500 0.500 0.000  -0.28
4 Ag 0.250 0.750 0.500  0.28
5 Cl 0.702 0.858 0.129  -0.09
6 Cl 0.427 0.271 0.129  -0.09
7 Cl 0.599 0.651 0.619  0.09
8 Cl 0.020 0.968 0.619  0.09
9 Cl 0.032 0.401 0.381  0.09
10 Cl 0.349 0.980 0.381  0.09
11 Cl 0.142 0.573 0.871  -0.09
12 Cl 0.729 0.298 0.871  -0.09


Record 6
Here is a geometry-optimized Ba2TaAgCl structure from Alexandria via LeMat-Bulk. Energies are from GGA-PBE.

Results
- volume (Å³ per cell) = 185
- space group = P4/mmm (123)
- uncorrected formation energy (eV per atom) = 0.454

Cell lengths 6.022, 5.107, 6.022 Å; angles 90.00, 90.00, 90.00 degrees
Last column: magnetic moment on the atom in μB.
Positions (direct):
1 Cl 0.000 0.000 0.000  0.04
2 Ba 0.000 0.000 0.500  0.16
3 Ba 0.500 0.000 0.000  0.16
4 Ag 0.000 0.500 0.000  0.04
5 Ta 0.500 0.500 0.500  2.24